[1]
Computed, not measured: an optimized crystal structure of CdCu2Te at the PBE-GGA level of DFT.

a = 3.1323 Å, b = 3.9250 Å, c = 6.3253 Å
α = 90.00°, β = 90.00°, γ = 90.00°
Last column: nearest neighbours and their distance in Å.
Space group Pmmm (No. 47)
Symmetry-distinct sites (fractional):
Cd (0.0000, 0.0000, 0.0000)  8 Cu 2.80, 2 Cd 3.13
Cu (0.5000, 0.5000, 0.1960)  1 Cu 2.48, 2 Te 2.75
Te (0.5000, 0.0000, 0.5000)  4 Cu 2.75

Properties
Total magnetization, μB per atom: 0.000
Density, g/cm³: 7.8
Crystal system: orthorhombic
Raw total energy, eV per formula unit: -11.84

***

[2]
Computed, not measured: an optimized crystal structure of CdCu2Te at the PBE-GGA level of DFT.

a = 6.7061 Å, b = 6.7061 Å, c = 6.7061 Å
α = 90.00°, β = 90.00°, γ = 90.00°
Last column: nearest neighbours and their distance in Å.
Space group Fm-3m (No. 225)
Symmetry-distinct sites (fractional):
Cd (0.0000, 0.0000, 0.0000)  8 Cu 2.90
Cu (0.2500, 0.2500, 0.2500)  4 Cd 2.90, 4 Te 2.90
Te (0.0000, 0.0000, 0.5000)  8 Cu 2.90

Properties
Total magnetization, μB per atom: 0.000
Density, g/cm³: 8.1
Crystal system: cubic
Raw total energy, eV per formula unit: -11.22

***

[3]
Computed, not measured: an optimized crystal structure of CdCuTe4 at the PBE-GGA level of DFT.

a = 8.9959 Å, b = 8.9959 Å, c = 8.9959 Å
α = 90.00°, β = 90.00°, γ = 90.00°
Last column: nearest neighbours and their distance in Å.
Space group F-43m (No. 216)
Symmetry-distinct sites (fractional):
Cd (0.0000, 0.0000, 0.0000)  12 Te 3.73, 4 Cu 3.90
Cu (0.2500, 0.2500, 0.7500)  12 Te 3.73, 4 Cd 3.90
Te (0.1253, 0.1253, 0.3747)  6 Te 3.17-3.19

Properties
Total magnetization, μB per atom: 0.000
Density, g/cm³: 6.3
Crystal system: cubic
Raw total energy, eV per formula unit: -13.93

***

[4]
Computed, not measured: an optimized crystal structure of CdCuTe at the PBE-GGA level of DFT.

a = 3.2142 Å, b = 3.2142 Å, c = 13.0074 Å
α = 90.00°, β = 90.00°, γ = 90.00°
Last column: nearest neighbours and their distance in Å.
Space group I4mm (No. 107)
Symmetry-distinct sites (fractional):
Cd (0.0000, 0.0000, 0.0000)  4 Cu 2.83
Cu (0.0000, 0.0000, 0.6290)  4 Cd 2.83, 4 Te 2.92
Te (0.0000, 0.0000, 0.2696)  4 Cu 2.92, 4 Te 3.21

Properties
Total magnetization, μB per atom: 0.000
Density, g/cm³: 7.5
Crystal system: tetragonal
Raw total energy, eV per formula unit: -7.49

***

[5]
Computed, not measured: an optimized crystal structure of CdCuTe2 at the PBE-GGA level of DFT.

a = 6.1754 Å, b = 8.0003 Å, c = 3.9649 Å
α = 90.00°, β = 90.00°, γ = 90.00°
Last column: nearest neighbours and their distance in Å.
Space group Cmmm (No. 65)
Symmetry-distinct sites (fractional):
Cd (0.0000, 0.0000, 0.0000)  2 Cu 3.09, 8 Te 3.21
Cu (0.0000, 0.5000, 0.0000)  2 Cd 3.09, 8 Te 3.21
Te (0.2500, 0.2500, 0.5000)  2 Te 3.09, 4 Cd 3.21, 4 Cu 3.21

Properties
Total magnetization, μB per atom: 0.000
Density, g/cm³: 7.3
Crystal system: orthorhombic
Raw total energy, eV per formula unit: -10.15

***

[6]
Computed, not measured: an optimized crystal structure of CdCuTe at the PBE-GGA level of DFT.

a = 6.5320 Å, b = 6.5320 Å, c = 6.5320 Å
α = 90.00°, β = 90.00°, γ = 90.00°
Last column: nearest neighbours and their distance in Å.
Space group F-43m (No. 216)
Symmetry-distinct sites (fractional):
Cd (0.0000, 0.0000, 0.0000)  4 Cu 2.83
Cu (0.2500, 0.2500, 0.7500)  4 Cd 2.83, 4 Te 2.83
Te (0.0000, 0.0000, 0.5000)  4 Cu 2.83

Properties
Total magnetization, μB per atom: 0.000
Density, g/cm³: 7.2
Crystal system: cubic
Raw total energy, eV per formula unit: -8.12

***

[7]
Computed, not measured: an optimized crystal structure of Cd2Cu2Te at the PBE-GGA level of DFT.

a = 6.9648 Å, b = 6.9648 Å, c = 4.1039 Å
α = 90.00°, β = 90.00°, γ = 90.00°
Last column: nearest neighbours and their distance in Å.
Space group P4/mbm (No. 127)
Symmetry-distinct sites (fractional):
Cd (0.1559, 0.3441, 0.0000)  6 Cu 2.86-2.95, 1 Cd 3.07
Cu (0.1283, 0.6283, 0.5000)  1 Cu 2.53, 2 Te 2.74
Te (0.0000, 0.0000, 0.5000)  4 Cu 2.74

Properties
Total magnetization, μB per atom: 0.000
Density, g/cm³: 8.0
Crystal system: tetragonal
Raw total energy, eV per formula unit: -12.61

***

[8]
Computed, not measured: an optimized crystal structure of CdCuTe2 at the PBE-GGA level of DFT.

a = 4.0483 Å, b = 4.0483 Å, c = 20.7056 Å
α = 90.00°, β = 90.00°, γ = 120.00°
Last column: nearest neighbours and their distance in Å.
Space group R-3m (No. 166, hexagonal axes)
Symmetry-distinct sites (fractional):
Cd (0.0000, 0.0000, 0.0000)  6 Te 3.05
Cu (0.0000, 0.0000, 0.5000)  6 Te 2.78
Te (0.0000, 0.0000, 0.2390)  3 Cu 2.78, 3 Cd 3.05

Properties
Total magnetization, μB per atom: 0.000
Density, g/cm³: 7.3
Crystal system: trigonal
Raw total energy, eV per formula unit: -11.65